No. 1
A relaxed structure of SiTc2MoS. Source: Alexandria, functional GGA-PBE.

Calculated values
Formation energy without anion corrections (eV per atom): 1.2525
Energy (eV/atom): -6.97
Space group: P4/mmm (123)
Total magnetic moment (μB/atom): 0.00

a b c (Å): 4.4281 4.5409 4.4281
angles (deg): 90.00 90.00 90.00
Element x y z (fractional)
1 S 0.5000 0.5000 0.5000
2 Mo 0.0000 0.5000 0.0000
3 Si 0.0000 0.0000 0.0000
4 Tc 0.0000 0.0000 0.5000
5 Tc 0.5000 0.0000 0.0000

No. 2
A relaxed structure of Tl2SiMoS. Source: Alexandria, functional GGA-PBE.

Calculated values
Formation energy without anion corrections (eV per atom): 0.7750
Energy (eV/atom): -4.25
Space group: P4/mmm (123)
Total magnetic moment (μB/atom): 0.41

a b c (Å): 5.4793 4.6921 5.4793
angles (deg): 90.00 90.00 90.00
Site moments in Bohr magnetons follow the coordinates.
Element x y z (fractional)
1 S 0.5000 0.5000 0.5000  0.46
2 Tl 0.0000 0.0000 0.5000  0.01
3 Tl 0.5000 0.0000 0.0000  0.01
4 Si 0.0000 0.5000 0.0000  -0.04
5 Mo 0.0000 0.0000 0.0000  1.15

No. 3
A relaxed structure of SmMoS2. Source: Alexandria, functional GGA-PBE.

Calculated values
Formation energy without anion corrections (eV per atom): -0.4990
Energy (eV/atom): -6.45
Space group: R-3m (166)
Total magnetic moment (μB/atom): 0.12

a b c (Å): 3.3359 3.3359 8.9255
angles (deg): 79.23 79.23 60.00
Site moments in Bohr magnetons follow the coordinates.
Element x y z (fractional)
1 Mo 0.5000 0.5000 0.5000  0.12
2 S 0.1072 0.1072 0.6783  0.00
3 S 0.8928 0.8928 0.3217  0.00
4 Sm 0.0000 0.0000 0.0000  0.17

No. 4
A relaxed structure of SmMo6S8. Source: Alexandria, functional GGA-PBE.

Calculated values
Formation energy without anion corrections (eV per atom): -0.9166
Energy (eV/atom): -7.76
Space group: R-3 (148)
Total magnetic moment (μB/atom): 0.00

a b c (Å): 6.5225 6.5225 6.5225
angles (deg): 89.08 89.08 89.08
Element x y z (fractional)
1 Sm 0.0000 0.0000 0.0000
2 Mo 0.5614 0.2244 0.4203
3 Mo 0.2244 0.4203 0.5614
4 Mo 0.5797 0.4386 0.7756
5 Mo 0.4203 0.5614 0.2244
6 Mo 0.7756 0.5797 0.4386
7 Mo 0.4386 0.7756 0.5797
8 S 0.3713 0.1277 0.7510
9 S 0.2411 0.2411 0.2411
10 S 0.8723 0.2490 0.6287
11 S 0.7510 0.3713 0.1277
12 S 0.2490 0.6287 0.8723
13 S 0.1277 0.7510 0.3713
14 S 0.7589 0.7589 0.7589
15 S 0.6287 0.8723 0.2490

No. 5
A relaxed structure of SnMoS2. Source: Alexandria, functional GGA-PBE.

Calculated values
Formation energy without anion corrections (eV per atom): 0.3725
Energy (eV/atom): -5.40
Space group: R-3m (166)
Total magnetic moment (μB/atom): 0.00

a b c (Å): 8.4031 8.4031 8.4031
angles (deg): 23.94 23.94 23.94
Element x y z (fractional)
1 S 0.9072 0.9072 0.9072
2 S 0.0928 0.0928 0.0928
3 Mo 0.0000 0.0000 0.0000
4 Sn 0.5000 0.5000 0.5000

No. 6
A relaxed structure of SnMoS2. Source: Alexandria, functional GGA-PBE.

Calculated values
Formation energy without anion corrections (eV per atom): -0.0298
Energy (eV/atom): -5.80
Space group: I-42d (122)
Total magnetic moment (μB/atom): 0.00

a b c (Å): 6.1567 6.1567 6.8533
angles (deg): 63.31 63.31 90.00
Element x y z (fractional)
1 S 0.5492 0.1250 0.2500
2 S 0.2008 0.6250 0.2500
3 S 0.3750 0.4508 0.7500
4 S 0.8750 0.7992 0.7500
5 Mo 0.5000 0.5000 0.0000
6 Mo 0.2500 0.7500 0.5000
7 Sn 0.0000 0.0000 0.0000
8 Sn 0.7500 0.2500 0.5000

No. 7
A relaxed structure of Sn2Mo15S19. Source: Alexandria, functional GGA-PBE.

Calculated values
Formation energy without anion corrections (eV per atom): -0.6287
Energy (eV/atom): -7.54
Space group: P6_3/m (176)
Total magnetic moment (μB/atom): 0.00

a b c (Å): 9.3330 9.3330 19.1533
angles (deg): 90.00 90.00 120.00
Element x y z (fractional)
1 Sn 0.6667 0.3333 0.9005
2 Sn 0.3333 0.6667 0.4005
3 Sn 0.3333 0.6667 0.0995
4 Sn 0.6667 0.3333 0.5995
5 Mo 0.0195 0.8448 0.9400
6 Mo 0.8254 0.9805 0.9400
7 Mo 0.1552 0.1746 0.9400
8 Mo 0.9805 0.1552 0.4400
9 Mo 0.1746 0.0195 0.4400
10 Mo 0.8448 0.8254 0.4400
11 Mo 0.9805 0.1552 0.0600
12 Mo 0.1746 0.0195 0.0600
13 Mo 0.8448 0.8254 0.0600
14 Mo 0.0195 0.8448 0.5600
15 Mo 0.8254 0.9805 0.5600
16 Mo 0.1552 0.1746 0.5600
17 Mo 0.3159 0.8241 0.8670
18 Mo 0.5082 0.6841 0.8670
19 Mo 0.1759 0.4918 0.8670
20 Mo 0.6841 0.1759 0.3670
21 Mo 0.4918 0.3159 0.3670
22 Mo 0.8241 0.5082 0.3670
23 Mo 0.6841 0.1759 0.1330
24 Mo 0.4918 0.3159 0.1330
25 Mo 0.8241 0.5082 0.1330
26 Mo 0.3159 0.8241 0.6330
27 Mo 0.5082 0.6841 0.6330
28 Mo 0.1759 0.4918 0.6330
29 Mo 0.1576 0.6515 0.7500
30 Mo 0.4939 0.8424 0.7500
31 Mo 0.3485 0.5061 0.7500
32 Mo 0.8424 0.3485 0.2500
33 Mo 0.5061 0.1576 0.2500
34 Mo 0.6515 0.4939 0.2500
35 S 0.0000 0.0000 0.8428
36 S 0.0000 0.0000 0.3428
37 S 0.0000 0.0000 0.1572
38 S 0.0000 0.0000 0.6572
39 S 0.6667 0.3333 0.4630
40 S 0.3333 0.6667 0.9630
41 S 0.3333 0.6667 0.5370
42 S 0.6667 0.3333 0.0370
43 S 0.3042 0.9560 0.7500
44 S 0.6518 0.6958 0.7500
45 S 0.0440 0.3482 0.7500
46 S 0.6958 0.0440 0.2500
47 S 0.3482 0.3042 0.2500
48 S 0.9560 0.6518 0.2500
49 S 0.3238 0.0412 0.9495
50 S 0.7173 0.6762 0.9495
51 S 0.9588 0.2827 0.9495
52 S 0.6762 0.9588 0.4495
53 S 0.2827 0.3238 0.4495
54 S 0.0412 0.7173 0.4495
55 S 0.6762 0.9588 0.0505
56 S 0.2827 0.3238 0.0505
57 S 0.0412 0.7173 0.0505
58 S 0.3238 0.0412 0.5505
59 S 0.7173 0.6762 0.5505
60 S 0.9588 0.2827 0.5505
61 S 0.0081 0.6271 0.8579
62 S 0.6190 0.9919 0.8579
63 S 0.3729 0.3810 0.8579
64 S 0.9919 0.3729 0.3579
65 S 0.3810 0.0081 0.3579
66 S 0.6271 0.6190 0.3579
67 S 0.9919 0.3729 0.1421
68 S 0.3810 0.0081 0.1421
69 S 0.6271 0.6190 0.1421
70 S 0.0081 0.6271 0.6421
71 S 0.6190 0.9919 0.6421
72 S 0.3729 0.3810 0.6421

No. 8
A relaxed structure of SnMoS2. Source: Alexandria, functional GGA-PBE.

Calculated values
Formation energy without anion corrections (eV per atom): -0.4332
Energy (eV/atom): -6.21
Space group: R-3m (166)
Total magnetic moment (μB/atom): 0.00

a b c (Å): 9.0746 9.0746 9.0746
angles (deg): 20.76 20.76 20.76
Element x y z (fractional)
1 S 0.8918 0.8918 0.8918
2 S 0.1082 0.1082 0.1082
3 Mo 0.5000 0.5000 0.5000
4 Sn 0.0000 0.0000 0.0000

No. 9
A relaxed structure of Sn2MoS. Source: Alexandria, functional GGA-PBE.

Calculated values
Formation energy without anion corrections (eV per atom): 0.5959
Energy (eV/atom): -5.15
Space group: I-42d (122)
Total magnetic moment (μB/atom): 0.35

a b c (Å): 7.6255 7.6255 6.1550
angles (deg): 51.72 51.72 90.00
Site moments in Bohr magnetons follow the coordinates.
Element x y z (fractional)
1 S 0.5000 0.5000 0.0000  0.01
2 S 0.2500 0.7500 0.5000  0.01
3 Mo 0.0000 0.0000 0.0000  1.29
4 Mo 0.7500 0.2500 0.5000  1.30
5 Sn 0.6245 0.1250 0.2500  -0.04
6 Sn 0.1255 0.6250 0.2500  -0.04
7 Sn 0.3750 0.3755 0.7500  -0.04
8 Sn 0.8750 0.8745 0.7500  -0.04

No. 10
A relaxed structure of Sr2SnMoS. Source: Alexandria, functional GGA-PBE.

Calculated values
Formation energy without anion corrections (eV per atom): 0.3748
Energy (eV/atom): -4.09
Space group: P4/mmm (123)
Total magnetic moment (μB/atom): 0.80

a b c (Å): 6.2071 5.1736 6.2071
angles (deg): 90.00 90.00 90.00
Site moments in Bohr magnetons follow the coordinates.
Element x y z (fractional)
1 S 0.5000 0.5000 0.5000  0.10
2 Sr 0.0000 0.0000 0.5000  0.01
3 Sr 0.5000 0.0000 0.0000  0.00
4 Mo 0.0000 0.5000 0.0000  3.04
5 Sn 0.0000 0.0000 0.0000  -0.10

No. 11
A relaxed structure of SnTeMo2S. Source: Alexandria, functional GGA-PBE.

Calculated values
Formation energy without anion corrections (eV per atom): 1.5711
Energy (eV/atom): -5.02
Space group: P4/mmm (123)
Total magnetic moment (μB/atom): 1.18

a b c (Å): 5.3353 4.8120 5.3353
angles (deg): 90.00 90.00 90.00
Site moments in Bohr magnetons follow the coordinates.
Element x y z (fractional)
1 S 0.0000 0.5000 0.0000  -0.05
2 Mo 0.0000 0.0000 0.5000  2.85
3 Mo 0.5000 0.0000 0.0000  2.58
4 Te 0.5000 0.5000 0.5000  -0.23
5 Sn 0.0000 0.0000 0.0000  -0.12

No. 12
A relaxed structure of Sr3MoS. Source: Alexandria, functional GGA-PBE.

Calculated values
Formation energy without anion corrections (eV per atom): -0.0070
Energy (eV/atom): -4.01
Space group: Pm-3m (221)
Energy relative to the lowest polymorph listed for this composition (eV per atom): 0.000
Total magnetic moment (μB/atom): 0.88

a b c (Å): 5.7549 5.7549 5.7549
angles (deg): 90.00 90.00 90.00
Site moments in Bohr magnetons follow the coordinates.
Element x y z (fractional)
1 Sr 0.0000 0.5000 0.0000  0.00
2 Sr 0.0000 0.0000 0.5000  0.01
3 Sr 0.5000 0.0000 0.0000  -0.02
4 Mo 0.5000 0.5000 0.5000  3.48
5 S 0.0000 0.0000 0.0000  0.01

> Which formula does entry 3 have?

SmMoS2